# 1
# meta-GGA SCAN BaCuHg, single point on PBEsol structure
data_BaCuHg
_chemical_formula_sum 'Ba4 Cu4 Hg4'
_cell_length_a 7.0576
_cell_length_b 7.0576
_cell_length_c 7.0576
_cell_angle_alpha 90.00
_cell_angle_beta 90.00
_cell_angle_gamma 90.00
_symmetry_space_group_name_H-M 'F -4 3 m'
_symmetry_Int_Tables_number 216
_symmetry_space_group_name_Hall 'F -4 2 3'
loop_
_atom_site_label
_atom_site_type_symbol
_atom_site_fract_x
_atom_site_fract_y
_atom_site_fract_z
Ba1 Ba 0.0000 0.0000 0.0000
Cu1 Cu 0.2500 0.2500 0.2500
Hg1 Hg 0.0000 0.0000 0.5000
# Electronic total energy, eV for the cell shown: -492.91
# E_form, eV per atom: -0.10

---

# 2
# meta-GGA SCAN BaCuHg, single point on PBEsol structure
data_BaCuHg
_chemical_formula_sum 'Ba2 Cu2 Hg2'
_cell_length_a 3.6936
_cell_length_b 3.6936
_cell_length_c 11.1598
_cell_angle_alpha 90.00
_cell_angle_beta 90.00
_cell_angle_gamma 90.00
_symmetry_space_group_name_H-M 'I 4 m m'
_symmetry_Int_Tables_number 107
_symmetry_space_group_name_Hall 'I 4 -2'
loop_
_atom_site_label
_atom_site_type_symbol
_atom_site_fract_x
_atom_site_fract_y
_atom_site_fract_z
Ba1 Ba 0.0000 0.0000 0.0000
Cu1 Cu 0.0000 0.0000 0.2959
Hg1 Hg 0.0000 0.0000 0.7059
# Electronic total energy, eV for the cell shown: -246.61
# E_form, eV per atom: -0.13

---

# 3
# meta-GGA SCAN Ba6Cu3Hg3O13, single point on PBEsol structure
data_Ba6Cu3Hg3O13
_chemical_formula_sum 'Ba12 Cu6 Hg6 O26'
_cell_length_a 16.1887
_cell_length_b 5.3766
_cell_length_c 10.9641
_cell_angle_alpha 90.00
_cell_angle_beta 119.49
_cell_angle_gamma 90.00
_symmetry_space_group_name_H-M 'C 1 2/m 1'
_symmetry_Int_Tables_number 12
_symmetry_space_group_name_Hall '-C 2y'
loop_
_atom_site_label
_atom_site_type_symbol
_atom_site_fract_x
_atom_site_fract_y
_atom_site_fract_z
Ba1 Ba 0.0697 0.0000 0.2090
Ba2 Ba 0.0934 0.5000 0.7802
Ba3 Ba 0.2355 0.5000 0.2068
Cu1 Cu 0.0000 0.5000 0.0000
Cu2 Cu 0.1666 0.0000 0.9979
Hg1 Hg 0.0000 0.0000 0.5000
Hg2 Hg 0.1616 0.5000 0.5001
O1 O 0.0000 0.5000 0.5000
O2 O 0.0710 0.0000 0.7123
O3 O 0.0828 0.2478 0.0009
O4 O 0.0991 0.5000 0.2887
O5 O 0.2399 0.5000 0.7114
O6 O 0.2500 0.2500 0.0000
# Electronic total energy, eV for the cell shown: -1223.16
# ΔE_f (raw), eV/atom: -1.7271

---

# 4
# meta-GGA SCAN Ba2TlCuHgO5, single point on PBEsol structure
data_Ba2TlCuHgO5
_chemical_formula_sum 'Ba4 Tl2 Cu2 Hg2 O10'
_cell_length_a 3.8574
_cell_length_b 3.8574
_cell_length_c 23.2576
_cell_angle_alpha 90.00
_cell_angle_beta 90.00
_cell_angle_gamma 90.00
_symmetry_space_group_name_H-M 'I 4 m m'
_symmetry_Int_Tables_number 107
_symmetry_space_group_name_Hall 'I 4 -2'
loop_
_atom_site_label
_atom_site_type_symbol
_atom_site_fract_x
_atom_site_fract_y
_atom_site_fract_z
Ba1 Ba 0.0000 0.0000 0.0000
Ba2 Ba 0.0000 0.0000 0.1673
Tl1 Tl 0.0000 0.0000 0.3857
Cu1 Cu 0.0000 0.0000 0.5770
Hg1 Hg 0.0000 0.0000 0.7912
O1 O 0.0000 0.0000 0.4806
O2 O 0.0000 0.0000 0.7059
O3 O 0.0000 0.0000 0.8781
O4 O 0.0000 0.5000 0.0863
# Electronic total energy, eV for the cell shown: -562.55
# ΔE_f (raw), eV/atom: -1.5293

---

# 5
# meta-GGA SCAN Ba4Tl2Cu2HgO10, single point on PBEsol structure
data_Ba4Tl2Cu2HgO10
_chemical_formula_sum 'Ba8 Tl4 Cu4 Hg2 O20'
_cell_length_a 3.8473
_cell_length_b 3.8473
_cell_length_c 42.7162
_cell_angle_alpha 90.00
_cell_angle_beta 90.00
_cell_angle_gamma 90.00
_symmetry_space_group_name_H-M 'I 4/m m m'
_symmetry_Int_Tables_number 139
_symmetry_space_group_name_Hall '-I 4 2'
loop_
_atom_site_label
_atom_site_type_symbol
_atom_site_fract_x
_atom_site_fract_y
_atom_site_fract_z
Ba1 Ba 0.0000 0.0000 0.0683
Ba2 Ba 0.0000 0.0000 0.1579
Tl1 Tl 0.0000 0.0000 0.2764
Cu1 Cu 0.0000 0.0000 0.3866
Hg1 Hg 0.0000 0.0000 0.5000
O1 O 0.0000 0.0000 0.2282
O2 O 0.0000 0.0000 0.3235
O3 O 0.0000 0.0000 0.4534
O4 O 0.0000 0.5000 0.1127
# Electronic total energy, eV for the cell shown: -990.76
# ΔE_f (raw), eV/atom: -1.6625

---

# 6
# meta-GGA SCAN Ba2HoCu3O6, single point on PBEsol structure
data_Ba2HoCu3O6
_chemical_formula_sum 'Ba2 Ho1 Cu3 O6'
_cell_length_a 3.8234
_cell_length_b 3.8234
_cell_length_c 11.8395
_cell_angle_alpha 90.00
_cell_angle_beta 90.00
_cell_angle_gamma 90.00
_symmetry_space_group_name_H-M 'P 4/m m m'
_symmetry_Int_Tables_number 123
_symmetry_space_group_name_Hall '-P 4 2'
loop_
_atom_site_label
_atom_site_type_symbol
_atom_site_fract_x
_atom_site_fract_y
_atom_site_fract_z
Ba1 Ba 0.0000 0.0000 0.1967
Ho1 Ho 0.0000 0.0000 0.5000
Cu1 Cu 0.5000 0.5000 0.0000
Cu2 Cu 0.5000 0.5000 0.3695
O1 O 0.0000 0.5000 0.3809
O2 O 0.5000 0.5000 0.1509
# Electronic total energy, eV for the cell shown: -236.66
# ΔE_f (raw), eV/atom: -2.1318

---

# 7
# meta-GGA SCAN BaHo2CuO5, single point on PBEsol structure
data_BaHo2CuO5
_chemical_formula_sum 'Ba4 Ho8 Cu4 O20'
_cell_length_a 12.0483
_cell_length_b 5.6063
_cell_length_c 7.0635
_cell_angle_alpha 90.00
_cell_angle_beta 90.00
_cell_angle_gamma 90.00
_symmetry_space_group_name_H-M 'P n m a'
_symmetry_Int_Tables_number 62
_symmetry_space_group_name_Hall '-P 2ac 2n'
loop_
_atom_site_label
_atom_site_type_symbol
_atom_site_fract_x
_atom_site_fract_y
_atom_site_fract_z
Ba1 Ba 0.0960 0.2500 0.0693
Ho1 Ho 0.0745 0.7500 0.3977
Ho2 Ho 0.2119 0.2500 0.6148
Cu1 Cu 0.1603 0.7500 0.7847
O1 O 0.0669 0.5055 0.6641
O2 O 0.1011 0.7500 0.0830
O3 O 0.2275 0.0031 0.3567
# Electronic total energy, eV for the cell shown: -845.14
# ΔE_f (raw), eV/atom: -3.0449

---

# 8
# meta-GGA SCAN Ba4HoCu3O9, single point on PBEsol structure
data_Ba4HoCu3O9
_chemical_formula_sum 'Ba8 Ho2 Cu6 O18'
_cell_length_a 8.0189
_cell_length_b 8.0189
_cell_length_c 8.0189
_cell_angle_alpha 90.00
_cell_angle_beta 90.00
_cell_angle_gamma 90.00
_symmetry_space_group_name_H-M 'P m -3 n'
_symmetry_Int_Tables_number 223
_symmetry_space_group_name_Hall '-P 4n 2 3'
loop_
_atom_site_label
_atom_site_type_symbol
_atom_site_fract_x
_atom_site_fract_y
_atom_site_fract_z
Ba1 Ba 0.2500 0.2500 0.2500
Ho1 Ho 0.0000 0.0000 0.0000
Cu1 Cu 0.0000 0.0000 0.5000
O1 O 0.0000 0.0000 0.2727
O2 O 0.0000 0.2500 0.5000
# Electronic total energy, eV for the cell shown: -695.46
# ΔE_f (raw), eV/atom: -2.2859

---

Repeat the fifth record exactly.
# meta-GGA SCAN Ba4Tl2Cu2HgO10, single point on PBEsol structure
data_Ba4Tl2Cu2HgO10
_chemical_formula_sum 'Ba8 Tl4 Cu4 Hg2 O20'
_cell_length_a 3.8473
_cell_length_b 3.8473
_cell_length_c 42.7162
_cell_angle_alpha 90.00
_cell_angle_beta 90.00
_cell_angle_gamma 90.00
_symmetry_space_group_name_H-M 'I 4/m m m'
_symmetry_Int_Tables_number 139
_symmetry_space_group_name_Hall '-I 4 2'
loop_
_atom_site_label
_atom_site_type_symbol
_atom_site_fract_x
_atom_site_fract_y
_atom_site_fract_z
Ba1 Ba 0.0000 0.0000 0.0683
Ba2 Ba 0.0000 0.0000 0.1579
Tl1 Tl 0.0000 0.0000 0.2764
Cu1 Cu 0.0000 0.0000 0.3866
Hg1 Hg 0.0000 0.0000 0.5000
O1 O 0.0000 0.0000 0.2282
O2 O 0.0000 0.0000 0.3235
O3 O 0.0000 0.0000 0.4534
O4 O 0.0000 0.5000 0.1127
# Electronic total energy, eV for the cell shown: -990.76
# ΔE_f (raw), eV/atom: -1.6625

---

What did the second record say?
# meta-GGA SCAN BaCuHg, single point on PBEsol structure
data_BaCuHg
_chemical_formula_sum 'Ba2 Cu2 Hg2'
_cell_length_a 3.6936
_cell_length_b 3.6936
_cell_length_c 11.1598
_cell_angle_alpha 90.00
_cell_angle_beta 90.00
_cell_angle_gamma 90.00
_symmetry_space_group_name_H-M 'I 4 m m'
_symmetry_Int_Tables_number 107
_symmetry_space_group_name_Hall 'I 4 -2'
loop_
_atom_site_label
_atom_site_type_symbol
_atom_site_fract_x
_atom_site_fract_y
_atom_site_fract_z
Ba1 Ba 0.0000 0.0000 0.0000
Cu1 Cu 0.0000 0.0000 0.2959
Hg1 Hg 0.0000 0.0000 0.7059
# Electronic total energy, eV for the cell shown: -246.61
# E_form, eV per atom: -0.13

---

- Which value of electronic total energy does entry 8 give?
  -695.46 eV for the cell shown